Run i
Here is crystalline LaMgTlNi at its relaxed geometry from OQMD. Energies are from PBE. Values from VASP.

Cell and atoms, written as Quantum ESPRESSO input:
```
&SYSTEM
  ibrav = 0, nat = 4, ntyp = 4
/
ATOMIC_SPECIES
Tl 204.38 Tl.upf
La 138.91 La.upf
Ni 58.69 Ni.upf
Mg 24.30 Mg.upf
ATOMIC_POSITIONS angstrom
Tl 0.000 0.000 0.000
La 0.385 1.973 2.367
Ni 0.770 3.946 4.733
Mg 1.155 5.920 7.100
CELL_PARAMETERS angstrom
1.505 0.438 4.823
2.382 4.203 1.541
-2.347 3.252 3.103
```

Output
**ρ**: 7.68 g cm⁻³
**Crystal system**: cubic
**Space group**: F-43m, No. 216

***

Run ii
Here is crystalline LaMgTlNi at its relaxed geometry from OQMD. Energies are from PBE. Values from VASP.

Cell and atoms, written as Quantum ESPRESSO input:
```
&SYSTEM
  ibrav = 0, nat = 4, ntyp = 4
/
ATOMIC_SPECIES
Mg 24.30 Mg.upf
Tl 204.38 Tl.upf
La 138.91 La.upf
Ni 58.69 Ni.upf
ATOMIC_POSITIONS angstrom
Mg 5.377 5.377 5.377
Tl 1.792 1.792 1.792
La 0.000 0.000 0.000
Ni 3.585 3.585 3.585
CELL_PARAMETERS angstrom
0.000 3.585 3.585
3.585 0.000 3.585
3.585 3.585 0.000
```

Output
**ρ**: 7.68 g cm⁻³
**Crystal system**: cubic
**Space group**: F-43m, No. 216

***

Energies in eV/atom, measured from the most stable structure: run i 0.000; run ii 0.134.